1.
The following is a DFT calculation (PBE-GGA) of a relaxed structure of Sr2GeMo.

Lattice parameters (Å, degrees): 6.749 6.749 6.749 100.33 100.33 129.90
Atoms (fractional coordinates):
Sr1 0.108 0.625 0.983
Sr2 0.375 0.358 0.483
Sr3 0.642 0.125 0.017
Sr4 0.875 0.892 0.517
Ge1 0.000 0.000 0.000
Ge2 0.750 0.250 0.500
Mo1 0.250 0.750 0.500
Mo2 0.500 0.500 0.000

Output
Density of states at the Fermi level ... 7.36 states/eV/cell
V ... 26.7 A^3/atom
ΔH_f (0 K) ... 0.86 eV/atom
Energy ... -0.141 Ha/atom
Magnetization ... 0.00 Bohr magnetons per cell
SG ... No. 122

=====

2.
The following is a DFT calculation (PBE-GGA) of a relaxed structure of BaCeCdSn.

Lattice parameters (Å, degrees): 5.729 5.729 5.729 60.00 60.00 60.00
Atoms (fractional coordinates):
Ba1 0.000 0.000 0.000
Ce1 0.500 0.500 0.500
Cd1 0.250 0.250 0.250
Sn1 0.750 0.750 0.750

Output
Density of states at the Fermi level ... 10.95 states/eV/cell
V ... 33.2 A^3/atom
ΔH_f (0 K) ... -0.32 eV/atom
Energy ... -0.129 Ha/atom
Magnetization ... 1.77 Bohr magnetons per cell
SG ... No. 216

=====

3.
The following is a DFT calculation (PBE-GGA) of a relaxed structure of Er3Ag2Pt.

Lattice parameters (Å, degrees): 5.008 5.008 6.166 90.00 90.00 120.00
Atoms (fractional coordinates):
Er1 0.000 0.000 0.000
Er2 0.333 0.667 0.649
Er3 0.667 0.333 0.351
Ag1 0.333 0.667 0.144
Ag2 0.667 0.333 0.856
Pt1 0.000 0.000 0.500

Output
Energy above the most stable polymorph in this dataset ... 0.0000 eV per atom
Density of states at the Fermi level ... 3.30 states/eV/cell
V ... 22.3 A^3/atom
ΔH_f (0 K) ... -0.67 eV/atom
Energy ... -0.180 Ha/atom
Magnetization ... 0.00 Bohr magnetons per cell
SG ... No. 164

=====

4.
The following is a DFT calculation (PBE-GGA) of a relaxed structure of Dy3InHg.

Lattice parameters (Å, degrees): 6.236 9.993 9.152 90.00 90.00 90.00
Atoms (fractional coordinates):
Dy1 0.084 0.069 0.175
Dy2 0.084 0.431 0.175
Dy3 0.226 0.750 0.355
Dy4 0.274 0.250 0.855
Dy5 0.416 0.569 0.675
Dy6 0.416 0.931 0.675
Dy7 0.584 0.069 0.325
Dy8 0.584 0.431 0.325
Dy9 0.726 0.750 0.145
Dy10 0.774 0.250 0.645
Dy11 0.916 0.569 0.825
Dy12 0.916 0.931 0.825
In1 0.000 0.000 0.500
In2 0.000 0.500 0.500
In3 0.500 0.000 0.000
In4 0.500 0.500 0.000
Hg1 0.209 0.750 0.005
Hg2 0.291 0.250 0.505
Hg3 0.709 0.750 0.495
Hg4 0.791 0.250 0.995

Output
Energy above the most stable polymorph in this dataset ... 0.1426 eV per atom
Density of states at the Fermi level ... 20.62 states/eV/cell
V ... 28.5 A^3/atom
ΔH_f (0 K) ... -0.21 eV/atom
Energy ... -0.132 Ha/atom
Magnetization ... 0.00 Bohr magnetons per cell
SG ... No. 62

=====

5.
The following is a DFT calculation (PBE-GGA) of a relaxed structure of DyHg6.

Lattice parameters (Å, degrees): 6.870 6.870 6.870 109.47 109.47 109.47
Atoms (fractional coordinates):
Dy1 0.000 0.000 0.000
Hg1 0.250 0.500 0.750
Hg2 0.250 0.750 0.500
Hg3 0.500 0.250 0.750
Hg4 0.500 0.750 0.250
Hg5 0.750 0.250 0.500
Hg6 0.750 0.500 0.250

Output
Energy above the most stable polymorph in this dataset ... 0.6234 eV per atom
Density of states at the Fermi level ... 4.92 states/eV/cell
V ... 35.7 A^3/atom
ΔH_f (0 K) ... 0.46 eV/atom
Energy ... -0.017 Ha/atom
Magnetization ... 0.00 Bohr magnetons per cell
SG ... No. 229

=====

6.
The following is a DFT calculation (PBE-GGA) of a relaxed structure of Sm6Ni2PdCl3.

Lattice parameters (Å, degrees): 9.642 9.642 8.728 108.74 108.74 24.09
Atoms (fractional coordinates):
Sm1 0.016 0.016 0.239
Sm2 0.323 0.323 0.438
Sm3 0.339 0.339 0.880
Sm4 0.661 0.661 0.120
Sm5 0.677 0.677 0.562
Sm6 0.984 0.984 0.761
Ni1 0.168 0.168 0.339
Ni2 0.832 0.832 0.661
Pd1 0.500 0.500 0.000
Cl1 0.168 0.168 0.835
Cl2 0.500 0.500 0.500
Cl3 0.832 0.832 0.165

Output
Density of states at the Fermi level ... 10.76 states/eV/cell
V ... 26.1 A^3/atom
Energy ... -0.191 Ha/atom
Magnetization ... 0.00 Bohr magnetons per cell
SG ... No. 12
Raw formation energy ... -11.7 eV/f.u.

=====

7.
The following is a DFT calculation (PBE-GGA) of a relaxed structure of VSbS2N.

Lattice parameters (Å, degrees): 4.832 4.832 3.642 90.00 90.00 90.00
Atoms (fractional coordinates):
V1 0.000 0.000 0.000
Sb1 0.500 0.500 0.500
S1 0.000 0.500 0.000
S2 0.500 0.000 0.000
N1 0.000 0.000 0.500

Output
Energy above the most stable polymorph in this dataset ... 0.0000 eV per atom
Density of states at the Fermi level ... 2.58 states/eV/cell
V ... 17.0 A^3/atom
Energy ... -0.221 Ha/atom
Magnetization ... 0.56 Bohr magnetons per cell
SG ... No. 123
Raw formation energy ... -0.2 eV/f.u.

=====

8.
The following is a DFT calculation (PBE-GGA) of a relaxed structure of BaYCd2.

Lattice parameters (Å, degrees): 3.934 3.934 8.180 90.00 90.00 90.00
Atoms (fractional coordinates):
Ba1 0.000 0.000 0.000
Y1 0.000 0.000 0.500
Cd1 0.500 0.500 0.298
Cd2 0.500 0.500 0.702

Output
Energy above the most stable polymorph in this dataset ... 0.0000 eV per atom
Density of states at the Fermi level ... 2.95 states/eV/cell
V ... 31.7 A^3/atom
ΔH_f (0 K) ... -0.30 eV/atom
Energy ... -0.105 Ha/atom
Magnetization ... 0.00 Bohr magnetons per cell
SG ... No. 123

=====

9.
The following is a DFT calculation (PBE-GGA) of a relaxed structure of LaTbHo.

Lattice parameters (Å, degrees): 8.042 8.042 8.042 153.94 153.94 37.18
Atoms (fractional coordinates):
La1 0.000 0.000 0.000
Tb1 0.670 0.670 0.000
Ho1 0.330 0.330 0.000

Output
Energy above the most stable polymorph in this dataset ... 0.0092 eV per atom
Density of states at the Fermi level ... 4.21 states/eV/cell
V ... 33.4 A^3/atom
ΔH_f (0 K) ... 0.03 eV/atom
Energy ... -0.172 Ha/atom
Magnetization ... 0.00 Bohr magnetons per cell
SG ... No. 107

=====

10.
The following is a DFT calculation (PBE-GGA) of a relaxed structure of LaPr6Er3Tm2.

Lattice parameters (Å, degrees): 6.305 6.305 11.917 95.06 95.06 120.01
Atoms (fractional coordinates):
La1 0.000 0.000 0.000
Pr1 0.084 0.419 0.252
Pr2 0.250 0.250 0.748
Pr3 0.419 0.084 0.252
Pr4 0.581 0.916 0.748
Pr5 0.750 0.750 0.252
Pr6 0.916 0.581 0.748
Er1 0.167 0.833 0.500
Er2 0.500 0.500 0.500
Er3 0.833 0.167 0.500
Tm1 0.333 0.667 0.000
Tm2 0.667 0.333 0.000

Output
Density of states at the Fermi level ... 14.05 states/eV/cell
V ... 33.6 A^3/atom
ΔH_f (0 K) ... 0.02 eV/atom
Energy ... -0.172 Ha/atom
Magnetization ... 0.00 Bohr magnetons per cell
SG ... No. 12

=====

11.
The following is a DFT calculation (PBE-GGA) of a relaxed structure of V2InN.

Lattice parameters (Å, degrees): 4.286 4.286 4.286 60.00 60.00 60.00
Atoms (fractional coordinates):
V1 0.250 0.250 0.250
V2 0.750 0.750 0.750
In1 0.000 0.000 0.000
N1 0.500 0.500 0.500

Output
Density of states at the Fermi level ... 6.16 states/eV/cell
V ... 13.9 A^3/atom
Energy ... -0.228 Ha/atom
Magnetization ... 0.72 Bohr magnetons per cell
SG ... No. 225
Raw formation energy ... 4.5 eV/f.u.

=====

12.
The following is a DFT calculation (PBE-GGA) of a relaxed structure of Ac2Zn2CdPd5.

Lattice parameters (Å, degrees): 10.227 10.227 3.873 90.00 90.00 90.00
Atoms (fractional coordinates):
Ac1 0.182 0.318 0.000
Ac2 0.318 0.818 0.000
Ac3 0.682 0.182 0.000
Ac4 0.818 0.682 0.000
Zn1 0.114 0.614 0.000
Zn2 0.386 0.114 0.000
Zn3 0.614 0.886 0.000
Zn4 0.886 0.386 0.000
Cd1 0.000 0.000 0.000
Cd2 0.500 0.500 0.000
Pd1 0.000 0.500 0.500
Pd2 0.063 0.787 0.500
Pd3 0.213 0.063 0.500
Pd4 0.287 0.563 0.500
Pd5 0.437 0.287 0.500
Pd6 0.500 0.000 0.500
Pd7 0.563 0.713 0.500
Pd8 0.713 0.437 0.500
Pd9 0.787 0.937 0.500
Pd10 0.937 0.213 0.500

Output
Density of states at the Fermi level ... 7.16 states/eV/cell
V ... 20.3 A^3/atom
ΔH_f (0 K) ... -0.60 eV/atom
Energy ... -0.160 Ha/atom
Magnetization ... 0.00 Bohr magnetons per cell
SG ... No. 127

=====

13.
The following is a DFT calculation (PBE-GGA) of a relaxed structure of TbHo5Ni2.

Lattice parameters (Å, degrees): 6.751 6.751 18.223 90.00 90.00 148.91
Atoms (fractional coordinates):
Tb1 0.218 0.782 0.750
Tb2 0.782 0.218 0.250
Ho1 0.060 0.940 0.250
Ho2 0.175 0.825 0.561
Ho3 0.175 0.825 0.939
Ho4 0.438 0.562 0.586
Ho5 0.438 0.562 0.914
Ho6 0.562 0.438 0.086
Ho7 0.562 0.438 0.414
Ho8 0.825 0.175 0.061
Ho9 0.825 0.175 0.439
Ho10 0.940 0.060 0.750
Ni1 0.204 0.796 0.138
Ni2 0.204 0.796 0.362
Ni3 0.796 0.204 0.638
Ni4 0.796 0.204 0.862

Output
Energy above the most stable polymorph in this dataset ... 0.0000 eV per atom
Density of states at the Fermi level ... 21.27 states/eV/cell
V ... 26.8 A^3/atom
ΔH_f (0 K) ... -0.16 eV/atom
Energy ... -0.185 Ha/atom
Magnetization ... 0.00 Bohr magnetons per cell
SG ... No. 63

=====

14.
The following is a DFT calculation (PBE-GGA) of a relaxed structure of TcHg2Ru.

Lattice parameters (Å, degrees): 9.455 9.455 9.455 17.88 17.88 17.88
Atoms (fractional coordinates):
Tc1 0.000 0.000 0.000
Hg1 0.249 0.249 0.249
Hg2 0.751 0.751 0.751
Ru1 0.500 0.500 0.500

Output
Energy above the most stable polymorph in this dataset ... 0.4337 eV per atom
Density of states at the Fermi level ... 4.25 states/eV/cell
V ... 17.4 A^3/atom
ΔH_f (0 K) ... 0.69 eV/atom
Energy ... -0.161 Ha/atom
Magnetization ... 0.13 Bohr magnetons per cell
SG ... No. 166

=====

15.
The following is a DFT calculation (PBE-GGA) of a relaxed structure of V3NiRu4.

Lattice parameters (Å, degrees): 6.650 6.650 4.251 108.55 108.55 37.28
Atoms (fractional coordinates):
V1 0.000 0.000 0.000
V2 0.261 0.261 0.261
V3 0.739 0.739 0.739
Ni1 0.500 0.500 0.500
Ru1 0.129 0.129 0.628
Ru2 0.371 0.371 0.871
Ru3 0.629 0.629 0.129
Ru4 0.871 0.871 0.372

Output
Density of states at the Fermi level ... 9.51 states/eV/cell
V ... 13.4 A^3/atom
ΔH_f (0 K) ... -0.20 eV/atom
Energy ... -0.330 Ha/atom
Magnetization ... 0.31 Bohr magnetons per cell
SG ... No. 12

=====

16.
The following is a DFT calculation (PBE-GGA) of a relaxed structure of LiMgIn.

Lattice parameters (Å, degrees): 8.291 3.221 9.761 90.00 90.00 90.00
Atoms (fractional coordinates):
Li1 0.064 0.250 0.148
Li2 0.436 0.750 0.648
Li3 0.564 0.250 0.352
Li4 0.936 0.750 0.852
Mg1 0.106 0.250 0.607
Mg2 0.394 0.750 0.107
Mg3 0.606 0.250 0.893
Mg4 0.894 0.750 0.393
In1 0.247 0.250 0.878
In2 0.253 0.750 0.378
In3 0.747 0.250 0.622
In4 0.753 0.750 0.122

Output
Energy above the most stable polymorph in this dataset ... 0.0062 eV per atom
Density of states at the Fermi level ... 2.99 states/eV/cell
V ... 21.7 A^3/atom
ΔH_f (0 K) ... -0.17 eV/atom
Energy ... -0.083 Ha/atom
Magnetization ... 0.00 Bohr magnetons per cell
SG ... No. 62

=====

17.
The following is a DFT calculation (PBE-GGA) of a relaxed structure of Tb2Be2Ge3.

Lattice parameters (Å, degrees): 9.560 9.560 6.876 90.00 90.00 156.34
Atoms (fractional coordinates):
Tb1 0.046 0.954 0.750
Tb2 0.172 0.828 0.250
Tb3 0.828 0.172 0.750
Tb4 0.954 0.046 0.250
Be1 0.336 0.664 0.097
Be2 0.336 0.664 0.403
Be3 0.664 0.336 0.597
Be4 0.664 0.336 0.903
Ge1 0.207 0.793 0.750
Ge2 0.436 0.564 0.571
Ge3 0.436 0.564 0.929
Ge4 0.564 0.436 0.071
Ge5 0.564 0.436 0.429
Ge6 0.793 0.207 0.250

Output
Density of states at the Fermi level ... 3.01 states/eV/cell
V ... 18.0 A^3/atom
ΔH_f (0 K) ... -0.47 eV/atom
Energy ... -0.178 Ha/atom
Magnetization ... 0.00 Bohr magnetons per cell
SG ... No. 63

=====

18.
The following is a DFT calculation (PBE-GGA) of a relaxed structure of RbNa7.

Lattice parameters (Å, degrees): 9.711 9.711 3.835 100.73 100.73 76.75
Atoms (fractional coordinates):
Rb1 0.000 0.000 0.000
Na1 0.143 0.585 0.352
Na2 0.254 0.254 0.737
Na3 0.415 0.857 0.648
Na4 0.500 0.500 0.000
Na5 0.585 0.143 0.352
Na6 0.746 0.746 0.263
Na7 0.857 0.415 0.648

Output
Density of states at the Fermi level ... 3.42 states/eV/cell
V ... 42.7 A^3/atom
ΔH_f (0 K) ... 0.04 eV/atom
Energy ... -0.046 Ha/atom
Magnetization ... 0.00 Bohr magnetons per cell
SG ... No. 12

=====

19.
The following is a DFT calculation (PBE-GGA) of a relaxed structure of K4MnAu.

Lattice parameters (Å, degrees): 7.290 7.290 7.290 60.00 60.00 60.00
Atoms (fractional coordinates):
K1 0.376 0.376 0.376
K2 0.376 0.376 0.873
K3 0.376 0.873 0.376
K4 0.873 0.376 0.376
Mn1 0.000 0.000 0.000
Au1 0.750 0.750 0.750

Output
Density of states at the Fermi level ... 4.96 states/eV/cell
V ... 45.7 A^3/atom
ΔH_f (0 K) ... 0.66 eV/atom
Energy ... -0.079 Ha/atom
Magnetization ... 4.61 Bohr magnetons per cell
SG ... No. 216

=====

20.
The following is a DFT calculation (PBE-GGA) of a relaxed structure of Tm2ScTi.

Lattice parameters (Å, degrees): 4.686 4.686 4.554 90.00 90.00 90.00
Atoms (fractional coordinates):
Tm1 0.000 0.500 0.000
Tm2 0.500 0.000 0.000
Sc1 0.000 0.000 0.500
Ti1 0.500 0.500 0.500

Output
Energy above the most stable polymorph in this dataset ... 0.0210 eV per atom
Density of states at the Fermi level ... 6.55 states/eV/cell
V ... 25.0 A^3/atom
ΔH_f (0 K) ... 0.17 eV/atom
Energy ... -0.207 Ha/atom
Magnetization ... 0.80 Bohr magnetons per cell
SG ... No. 123